w:
A plane-wave DFT calculation with PBE was carried out for a relaxed BaCdPtO3 crystal.

Geometry as extended XYZ:
```
6
Lattice="6.231 -1.764 -1.252 3.627 -4.749 2.791 -5.559 1.756 -3.084" Properties=species:S:1:pos:R:3 pbc="T T T"
Cd 2.215 -1.245 -1.875
O 3.923 -4.727 0.616
O 8.025 -5.302 1.253
Ba 5.210 -3.224 -1.407
Pt 2.242 -3.616 0.354
O 1.770 -1.169 0.276
```

Summary:
space group: No. 44

=====

x:
A plane-wave DFT calculation with PBE was carried out for a relaxed BaCdPtO3 crystal.

Geometry as extended XYZ:
```
6
Lattice="-1.786 2.958 6.218 -5.192 4.362 2.148 2.058 -5.880 -3.434" Properties=species:S:1:pos:R:3 pbc="T T T"
Ba -1.592 -0.732 -0.613
O -4.978 2.820 3.446
Pt -3.921 1.711 2.179
O -5.669 5.947 6.796
O -1.066 1.118 1.278
Cd -1.296 0.041 3.108
```

Summary:
space group: No. 44

=====

Verdict on stability: x comes out on top.

=====

w:
A plane-wave DFT calculation with PBE was carried out for a relaxed BaSrCdSbP crystal.

Geometry as extended XYZ:
```
10
Lattice="2.308 -8.529 0.000 2.308 8.529 0.000 0.000 0.000 8.321" Properties=species:S:1:pos:R:3 pbc="T T T"
Cd 2.308 -1.711 7.627
Sb 2.308 -1.252 4.666
P 2.308 -5.524 4.113
Ba 2.308 -7.779 6.303
Sr 2.308 4.810 5.298
Cd 2.308 1.711 3.467
P 2.308 5.524 8.273
Sb 2.308 1.252 0.505
Ba 2.308 7.779 2.143
Sr 2.308 -4.810 1.137
```

Summary:
space group: No. 36

=====

x:
A plane-wave DFT calculation with PBE was carried out for a relaxed BaSrCdSbP crystal.

Geometry as extended XYZ:
```
10
Lattice="7.497 3.618 4.103 -8.820 -2.874 0.277 2.438 -7.292 1.975" Properties=species:S:1:pos:R:3 pbc="T T T"
Ba 0.708 -5.475 3.596
Sb 2.312 1.447 2.905
Cd 6.885 -0.013 4.534
P 6.679 2.685 4.014
Sr -3.537 -1.561 1.650
Sr 3.898 -2.734 4.094
Ba 0.522 -1.418 2.851
P -6.424 -6.659 1.643
Sb -2.353 -4.539 2.513
Cd -4.990 -8.868 2.452
```

Summary:
space group: No. 36

=====

Verdict on stability: w comes out on top.

=====

w:
A plane-wave DFT calculation with PBE was carried out for a relaxed BaSrCdSbP crystal.

Geometry as extended XYZ:
```
10
Lattice="1.208 5.654 -7.657 -4.913 -2.875 7.724 3.736 4.880 4.193" Properties=species:S:1:pos:R:3 pbc="T T T"
Sb -3.726 -1.233 5.265
P -1.944 1.241 1.123
Sr 3.960 9.238 -4.075
Ba -1.648 1.491 7.184
Ba 0.292 4.357 -4.481
Sr -3.758 -1.354 8.528
P 0.580 4.596 1.571
Cd 2.165 6.686 2.518
Cd -0.817 2.694 3.220
Sb 2.177 6.830 -2.778
```

Summary:
space group: No. 36

=====

x:
A plane-wave DFT calculation with PBE was carried out for a relaxed BaSrCdSbP crystal.

Geometry as extended XYZ:
```
10
Lattice="2.314 -8.748 0.000 2.314 8.748 0.000 0.000 0.000 8.053" Properties=species:S:1:pos:R:3 pbc="T T T"
P 2.314 -5.868 4.103
Ba 2.314 -4.922 1.055
Cd 2.314 -1.649 7.419
Cd 2.314 1.649 3.392
P 2.314 5.868 0.076
Sr 2.314 8.120 2.053
Sb 2.314 -1.205 4.422
Sb 2.314 1.205 0.395
Ba 2.314 4.922 5.081
Sr 2.314 -8.120 6.080
```

Summary:
space group: No. 36

=====

Verdict on stability: x comes out on top.

=====

w:
A plane-wave DFT calculation with PBE was carried out for a relaxed Ba2CdPb crystal.

Geometry as extended XYZ:
```
24
Lattice="6.044 0.000 0.000 0.000 8.554 0.000 0.000 0.000 18.124" Properties=species:S:1:pos:R:3 pbc="T T T"
Pb 3.022 0.000 9.062
Ba 0.001 2.139 15.103
Cd 0.002 0.000 12.085
Ba 0.000 2.136 9.062
Ba 6.042 6.415 3.021
Cd 3.023 4.277 15.100
Cd 0.000 0.000 0.000
Ba 3.022 2.141 0.000
Cd 3.020 4.277 3.024
Cd 3.022 4.277 9.062
Ba 0.000 6.418 9.062
Pb 3.023 0.000 15.105
Ba 3.023 6.416 12.082
Ba 3.020 6.416 6.041
Pb 6.042 4.277 6.043
Pb 0.001 4.277 12.081
Ba 6.042 2.139 3.021
Pb 3.020 0.000 3.019
Ba 0.001 6.415 15.103
Ba 3.020 2.138 6.041
Cd 6.042 0.000 6.038
Pb 0.000 4.277 0.000
Ba 3.022 6.413 0.000
Ba 3.023 2.138 12.082
```

Summary:
space group: No. 225

=====

x:
A plane-wave DFT calculation with PBE was carried out for a relaxed Ba2CdPb crystal.

Geometry as extended XYZ:
```
16
Lattice="8.162 0.000 0.000 0.000 8.409 0.000 0.000 0.000 8.920" Properties=species:S:1:pos:R:3 pbc="T T T"
Pb 1.703 2.102 4.460
Ba 4.081 0.000 6.464
Cd 1.676 6.307 4.460
Ba 0.000 4.204 2.004
Ba 0.000 4.204 6.916
Pb 6.459 6.307 4.460
Ba 4.081 4.204 6.464
Cd 6.486 2.102 4.460
Ba 0.000 0.000 2.004
Pb 2.378 2.102 0.000
Ba 0.000 0.000 6.916
Cd 2.405 6.307 0.000
Ba 4.081 4.204 2.456
Cd 5.757 2.102 0.000
Ba 4.081 0.000 2.456
Pb 5.784 6.307 0.000
```

Summary:
space group: No. 74

=====

y:
A plane-wave DFT calculation with PBE was carried out for a relaxed Ba2CdPb crystal.

Geometry as extended XYZ:
```
4
Lattice="0.000 4.204 4.204 4.204 0.000 4.204 4.204 4.204 0.000" Properties=species:S:1:pos:R:3 pbc="T T T"
Pb 6.306 6.306 6.306
Cd 4.204 4.204 4.204
Ba 0.000 0.000 0.000
Ba 2.102 2.102 2.102
```

Summary:
space group: No. 216

=====

Verdict on stability: w comes out on top.

=====

w:
A plane-wave DFT calculation with PBE was carried out for a relaxed BaCdSn2Pd crystal.

Geometry as extended XYZ:
```
10
Lattice="4.818 0.000 0.000 0.000 4.818 0.000 0.000 0.000 11.675" Properties=species:S:1:pos:R:3 pbc="T T T"
Cd 0.000 0.000 0.000
Sn 0.000 2.409 9.880
Sn 2.409 2.409 5.837
Pd 2.409 0.000 4.492
Pd 0.000 2.409 7.183
Sn 0.000 0.000 5.837
Ba 0.000 2.409 3.011
Cd 2.409 2.409 0.000
Ba 2.409 0.000 8.663
Sn 2.409 0.000 1.794
```

Summary:
space group: No. 129

=====

x:
A plane-wave DFT calculation with PBE was carried out for a relaxed BaCdSn2Pd crystal.

Geometry as extended XYZ:
```
10
Lattice="-1.876 -4.194 -1.839 2.330 0.836 -4.284 9.078 -5.734 3.819" Properties=species:S:1:pos:R:3 pbc="T T T"
Sn -0.057 -2.653 -0.549
Cd 7.050 -3.299 0.333
Sn 4.767 -4.546 -1.152
Sn 9.363 -4.760 1.306
Ba 6.002 -6.480 2.000
Ba 3.304 -0.933 -1.242
Pd 0.227 -1.679 -3.061
Pd 0.000 0.000 0.000
Sn 4.539 -2.867 1.909
Cd 2.255 -4.114 0.424
```

Summary:
space group: No. 129

=====

Verdict on stability: w comes out on top.

=====

w:
A plane-wave DFT calculation with PBE was carried out for a relaxed Ba2CdTcS6 crystal.

Geometry as extended XYZ:
```
10
Lattice="6.493 0.000 0.000 2.960 6.069 0.000 3.096 1.650 6.115" Properties=species:S:1:pos:R:3 pbc="T T T"
S 8.055 2.397 4.187
Ba 6.375 1.966 1.481
S 4.847 2.634 4.113
Cd 3.247 0.000 0.000
Tc 3.028 3.860 3.057
Ba 6.175 5.754 4.633
S 3.117 2.390 1.139
S 4.494 5.323 1.928
S 9.433 5.330 4.976
S 7.703 5.085 2.002
```

Summary:
space group: No. 2

=====

x:
A plane-wave DFT calculation with PBE was carried out for a relaxed Ba2CdTcS6 crystal.

Geometry as extended XYZ:
```
10
Lattice="7.019 0.000 0.000 3.509 6.078 0.000 3.509 2.026 5.731" Properties=species:S:1:pos:R:3 pbc="T T T"
S 3.433 1.982 1.495
S 10.604 6.122 4.236
S 8.773 2.952 4.236
Ba 5.264 3.039 4.298
Ba 8.773 5.065 1.433
S 6.943 6.122 4.236
S 5.264 5.153 1.495
Cd 5.264 3.039 0.000
Tc 1.755 1.013 2.865
S 7.095 1.982 1.495
```

Summary:
space group: No. 225

=====

y:
A plane-wave DFT calculation with PBE was carried out for a relaxed Ba2CdTcS6 crystal.

Geometry as extended XYZ:
```
10
Lattice="-3.395 3.395 5.245 3.395 -3.395 5.245 3.395 3.395 -5.245" Properties=species:S:1:pos:R:3 pbc="T T T"
Ba 3.395 0.000 2.622
S 4.567 1.345 0.000
S 0.000 0.000 2.802
Tc 0.000 0.000 5.245
S -1.172 2.050 5.245
Cd 0.000 0.000 0.000
Ba 0.000 3.395 2.622
S 0.000 0.000 7.688
S 1.345 2.223 0.000
S 2.050 1.172 5.245
```

Summary:
space group: No. 87

=====

Verdict on stability: w comes out on top.

=====

w:
A plane-wave DFT calculation with PBE was carried out for a relaxed BaZnCdS3 crystal.

Geometry as extended XYZ:
```
12
Lattice="6.909 -2.036 0.000 6.909 2.036 0.000 0.000 0.000 10.129" Properties=species:S:1:pos:R:3 pbc="T T T"
Zn 0.000 0.000 0.000
Cd 6.619 0.000 2.532
S 8.624 0.000 5.541
S 1.167 0.000 2.532
Zn 0.000 0.000 5.065
S 5.193 0.000 4.588
Ba 10.466 0.000 2.532
Cd 7.198 0.000 7.597
S 5.193 0.000 0.476
Ba 3.351 0.000 7.597
S 8.624 0.000 9.653
S 12.650 0.000 7.597
```

Summary:
space group: No. 63

=====

x:
A plane-wave DFT calculation with PBE was carried out for a relaxed BaZnCdS3 crystal.

Geometry as extended XYZ:
```
12
Lattice="-0.887 -3.689 1.367 4.777 -4.402 -2.831 6.258 1.528 8.184" Properties=species:S:1:pos:R:3 pbc="T T T"
Ba 6.441 -3.834 5.731
S 1.371 -3.647 2.946
S 5.692 -4.915 2.328
Cd 3.129 0.764 4.092
S 8.777 -2.917 3.773
Cd 0.000 0.000 0.000
Zn 5.551 -5.694 0.132
S 4.457 -1.649 4.391
Zn 4.597 -0.869 6.587
S 6.770 -1.084 7.416
S 3.378 -5.479 -0.697
Ba 3.707 -2.729 0.988
```

Summary:
space group: No. 63

=====

Verdict on stability: x comes out on top.

=====

w:
A plane-wave DFT calculation with PBE was carried out for a relaxed BaSrCdSb2 crystal.

Geometry as extended XYZ:
```
10
Lattice="2.431 -9.298 0.000 2.431 9.298 0.000 0.000 0.000 7.913" Properties=species:S:1:pos:R:3 pbc="T T T"
Ba 2.431 5.535 4.654
Sb 2.431 -6.186 4.179
Cd 2.431 -1.727 7.346
Ba 2.431 -5.535 0.697
Sr 2.431 -8.851 6.084
Sb 2.431 6.186 0.223
Cd 2.431 1.727 3.390
Sb 2.431 1.172 0.414
Sr 2.431 8.851 2.127
Sb 2.431 -1.172 4.370
```

Summary:
space group: No. 36

=====

x:
A plane-wave DFT calculation with PBE was carried out for a relaxed BaSrCdSb2 crystal.

Geometry as extended XYZ:
```
10
Lattice="-1.478 2.236 8.810 -3.232 -3.110 -8.043 1.864 -7.986 2.339" Properties=species:S:1:pos:R:3 pbc="T T T"
Sb -1.064 -10.121 -2.729
Sb -0.863 -2.675 6.988
Ba -2.670 -5.062 -6.815
Cd -0.473 -7.297 4.115
Sr -1.623 0.220 5.621
Sr -1.726 -6.925 -3.146
Sb -2.354 -1.318 -0.617
Cd -1.733 -4.303 -0.206
Sb -1.183 -4.580 2.856
Ba -0.108 -4.090 10.007
```

Summary:
space group: No. 36

=====

Verdict on stability: w comes out on top.

=====

w:
A plane-wave DFT calculation with PBE was carried out for a relaxed BaSrCdTe3 crystal.

Geometry as extended XYZ:
```
24
Lattice="-9.693 -1.537 -0.460 -0.207 -0.094 4.668 -3.026 19.010 0.250" Properties=species:S:1:pos:R:3 pbc="T T T"
Te -10.459 9.629 0.902
Cd -3.894 16.181 1.325
Ba -10.146 17.212 1.069
Te -6.284 0.516 3.242
Cd -4.868 6.252 3.420
Ba -8.937 7.629 3.268
Te -12.386 15.583 3.276
Te -0.539 1.795 1.182
Te -4.152 13.366 1.256
Te -9.178 13.724 1.041
Cd -9.032 1.197 3.134
Sr -6.710 14.116 3.498
Sr -1.558 5.219 1.206
Te -6.615 10.545 3.430
Ba -3.989 9.750 1.190
Te -8.774 4.013 3.202
Ba -2.780 0.166 3.390
Sr -6.215 3.263 0.961
Cd -8.058 11.127 1.038
Sr -11.368 12.159 3.252
Te -2.466 7.749 3.557
Te -3.748 3.654 3.418
Te -6.310 6.833 1.029
Te -6.642 16.863 1.217
```

Summary:
space group: No. 62

=====

x:
A plane-wave DFT calculation with PBE was carried out for a relaxed BaSrCdTe3 crystal.

Geometry as extended XYZ:
```
24
Lattice="-6.738 -4.036 6.058 3.242 -3.115 1.531 5.022 11.852 13.481" Properties=species:S:1:pos:R:3 pbc="T T T"
Cd -2.750 -4.244 8.243
Sr 1.775 4.536 9.154
Te -1.559 -2.214 9.849
Sr -0.249 0.165 11.915
Te 2.149 2.745 12.087
Sr 0.967 -2.899 3.106
Sr 0.560 7.600 17.964
Cd -0.244 4.208 12.764
Te 2.938 8.780 15.328
Cd 1.771 0.493 8.306
Te 3.834 2.366 7.747
Ba -1.986 -0.592 6.686
Ba 1.779 2.361 4.721
Te 1.177 0.269 1.739
Ba -0.252 2.340 16.348
Te -0.622 1.956 8.983
Ba 3.513 5.293 14.384
Te -2.307 2.335 13.322
Te -1.411 -4.079 5.742
Cd 4.277 8.945 12.827
Te 3.086 6.915 11.221
Te 0.350 4.432 19.330
Te 1.468 -1.004 5.901
Te 0.059 5.705 15.169
```

Summary:
space group: No. 62

=====

Verdict on stability: x comes out on top.